1.
VASP calculation (SCAN) on a PBEsol-optimized structure of Sr3BW.

Output
energy relative to the elements = 1.924 eV per atom

Cell lengths 5.6233, 5.6233, 5.6233 Å; angles 90.00, 90.00, 90.00 degrees
Atoms (fractional coordinates):
Sr1 0.0000 0.5000 0.0000
Sr2 0.0000 0.0000 0.5000
Sr3 0.5000 0.0000 0.0000
B1 0.5000 0.5000 0.5000
W1 0.0000 0.0000 0.0000

2.
VASP calculation (SCAN) on a PBEsol-optimized structure of MgPt2W.

Output
energy relative to the elements = -0.616 eV per atom

Cell lengths 2.7880, 2.7880, 7.8760 Å; angles 90.00, 90.00, 90.00 degrees
Atoms (fractional coordinates):
Mg1 0.5000 0.5000 0.5000
Pt1 0.0000 0.0000 0.7577
Pt2 0.0000 0.0000 0.2423
W1 0.5000 0.5000 0.0000

3.
VASP calculation (SCAN) on a PBEsol-optimized structure of TlSn2Bi.

Output
energy relative to the elements = 0.177 eV per atom

Cell lengths 5.4176, 5.4176, 5.4176 Å; angles 60.00, 60.00, 60.00 degrees
Atoms (fractional coordinates):
Tl1 0.0000 0.0000 0.0000
Bi1 0.5000 0.5000 0.5000
Sn1 0.2500 0.2500 0.2500
Sn2 0.7500 0.7500 0.7500

4.
VASP calculation (SCAN) on a PBEsol-optimized structure of Zr3Se4.

Output
formation energy without anion corrections = -1.446 eV per atom
excess energy over the best structure of this formula in the dataset = 0 kJ/mol of formula units

Cell lengths 3.7149, 6.5202, 6.5202 Å; angles 107.49, 90.00, 90.00 degrees
Atoms (fractional coordinates):
Se1 0.5000 0.7340 0.2660
Se2 0.0000 0.7393 0.7393
Se3 0.5000 0.2660 0.7340
Se4 0.0000 0.2607 0.2607
Zr1 0.0000 0.0000 0.5000
Zr2 0.5000 0.0000 0.0000
Zr3 0.0000 0.5000 0.0000

5.
VASP calculation (SCAN) on a PBEsol-optimized structure of RhAu3F.

Output
formation energy without anion corrections = 0.978 eV per atom
excess energy over the best structure of this formula in the dataset = 104 kJ/mol of formula units

Cell lengths 4.8914, 4.8914, 4.8914 Å; angles 90.00, 90.00, 90.00 degrees
Atoms (fractional coordinates):
Rh1 0.0000 0.0000 0.0000
Au1 0.0000 0.5000 0.0000
Au2 0.0000 0.0000 0.5000
Au3 0.5000 0.0000 0.0000
F1 0.5000 0.5000 0.5000

6.
VASP calculation (SCAN) on a PBEsol-optimized structure of Mn3MoIr.

Output
energy relative to the elements = 0.860 eV per atom

Cell lengths 4.6226, 4.6226, 4.6226 Å; angles 90.00, 90.00, 90.00 degrees
Atoms (fractional coordinates):
Mo1 0.5000 0.5000 0.5000
Ir1 0.0000 0.0000 0.0000
Mn1 0.0000 0.5000 0.0000
Mn2 0.0000 0.0000 0.5000
Mn3 0.5000 0.0000 0.0000

7.
VASP calculation (SCAN) on a PBEsol-optimized structure of InFeOs2.

Output
energy relative to the elements = 0.405 eV per atom

Cell lengths 2.7830, 4.1374, 5.3083 Å; angles 90.00, 103.01, 90.00 degrees
Atoms (fractional coordinates):
Fe1 0.5000 0.5000 0.0000
In1 0.5000 0.5000 0.5000
Os1 0.1277 0.0000 0.7786
Os2 0.8723 0.0000 0.2214

8.
VASP calculation (SCAN) on a PBEsol-optimized structure of Sr7CoN6.

Output
formation energy without anion corrections = -0.622 eV per atom

Cell lengths 6.5637, 11.5157, 13.4701 Å; angles 90.00, 90.00, 90.00 degrees
Atoms (fractional coordinates):
Sr1 0.2633 0.9608 0.0226
Sr2 0.2367 0.5392 0.5226
Sr3 0.2367 0.4608 0.9774
Sr4 0.2633 0.0392 0.4774
Sr5 0.7367 0.0392 0.9774
Sr6 0.7633 0.4608 0.4774
Sr7 0.7633 0.5392 0.0226
Sr8 0.7367 0.9608 0.5226
Sr9 0.1397 0.7790 0.3769
Sr10 0.3603 0.7210 0.8769
Sr11 0.3603 0.2790 0.6231
Sr12 0.1397 0.2210 0.1231
Sr13 0.8603 0.2210 0.6231
Sr14 0.6397 0.2790 0.1231
Sr15 0.6397 0.7210 0.3769
Sr16 0.8603 0.7790 0.8769
Sr17 0.3865 0.7037 0.1305
Sr18 0.1135 0.7963 0.6305
Sr19 0.1135 0.2037 0.8695
Sr20 0.3865 0.2963 0.3695
Sr21 0.6135 0.2963 0.8695
Sr22 0.8865 0.2037 0.3695
Sr23 0.8865 0.7963 0.1305
Sr24 0.6135 0.7037 0.6305
Sr25 0.5624 0.0000 0.2500
Sr26 0.9376 0.5000 0.7500
Sr27 0.4376 0.0000 0.7500
Sr28 0.0624 0.5000 0.2500
Co1 0.0734 0.0000 0.2500
Co2 0.4266 0.5000 0.7500
Co3 0.9266 0.0000 0.7500
Co4 0.5734 0.5000 0.2500
N1 0.2347 0.8799 0.2120
N2 0.2653 0.6201 0.7120
N3 0.2653 0.3799 0.7880
N4 0.2347 0.1201 0.2880
N5 0.7653 0.1201 0.7880
N6 0.7347 0.3799 0.2880
N7 0.7347 0.6201 0.2120
N8 0.7653 0.8799 0.7120
N9 0.4079 0.8334 0.5020
N10 0.0921 0.6666 0.0020
N11 0.0921 0.3334 0.4980
N12 0.4079 0.1666 0.9980
N13 0.5921 0.1666 0.4980
N14 0.9079 0.3334 0.9980
N15 0.9079 0.6666 0.5020
N16 0.5921 0.8334 0.0020
N17 0.4088 0.5416 0.3519
N18 0.0912 0.9584 0.8519
N19 0.0912 0.0416 0.6481
N20 0.4088 0.4584 0.1481
N21 0.5912 0.4584 0.6481
N22 0.9088 0.0416 0.1481
N23 0.9088 0.9584 0.3519
N24 0.5912 0.5416 0.8519

In order of appearance, E_tot = -26.86, -54.38, -55.52, -26.08, -47.98, -31.29, -48.41, -16.98 eV/atom.